# Ca2LaTa PBE optimized geometry
data_Ca2LaTa
_chemical_formula_sum 'Ca4 La2 Ta2'
_cell_length_a 3.4173
_cell_length_b 5.5634
_cell_length_c 13.3734
_cell_angle_alpha 90.00
_cell_angle_beta 90.00
_cell_angle_gamma 90.00
_space_group_name_H-M_alt 'I m m m'
_space_group_IT_number 71
_space_group_name_Hall '-I 2 2'
loop_
_atom_site_label
_atom_site_type_symbol
_atom_site_fract_x
_atom_site_fract_y
_atom_site_fract_z
Ca1 Ca 0.0000 0.0000 0.2019
La1 La 0.0000 0.5000 0.0000
Ta1 Ta 0.0000 0.5000 0.5000
# - energy above the most stable polymorph in this dataset (meV per atom) = 100
# - Fermi-level density of states (states/eV/cell) = 9.8
# - spin magnetization (μB per formula unit) = 0.00
# - crystal system = orthorhombic

# CaLa2Ta PBE optimized geometry
data_CaLa2Ta
_chemical_formula_sum 'Ca2 La4 Ta2'
_cell_length_a 3.9722
_cell_length_b 5.3834
_cell_length_c 11.4868
_cell_angle_alpha 90.00
_cell_angle_beta 90.00
_cell_angle_gamma 90.00
_space_group_name_H-M_alt 'C m m 2'
_space_group_IT_number 35
loop_
_space_group_symop_operation_xyz
'x,y,z'
'-x,-y,z'
'-x,y,z'
'x,-y,z'
'x+1/2,y+1/2,z'
'-x+1/2,-y+1/2,z'
'-x+1/2,y+1/2,z'
'x+1/2,-y+1/2,z'
loop_
_atom_site_label
_atom_site_type_symbol
_atom_site_fract_x
_atom_site_fract_y
_atom_site_fract_z
Ca1 Ca 0.0000 0.0000 0.0000
La1 La 0.0000 0.0000 0.5869
La2 La 0.0000 0.5000 0.2895
Ta1 Ta 0.0000 0.5000 0.7823
# - energy above the most stable polymorph in this dataset (meV per atom) = 159
# - Fermi-level density of states (states/eV/cell) = 14.0
# - spin magnetization (μB per formula unit) = 0.00
# - crystal system = orthorhombic

# CaLaTa PBE optimized geometry
data_CaLaTa
_chemical_formula_sum 'Ca4 La4 Ta4'
_cell_length_a 7.2379
_cell_length_b 7.2379
_cell_length_c 7.2379
_cell_angle_alpha 90.00
_cell_angle_beta 90.00
_cell_angle_gamma 90.00
_space_group_name_H-M_alt 'F -4 3 m'
_space_group_IT_number 216
_space_group_name_Hall 'F -4 2 3'
loop_
_atom_site_label
_atom_site_type_symbol
_atom_site_fract_x
_atom_site_fract_y
_atom_site_fract_z
Ca1 Ca 0.0000 0.0000 0.0000
La1 La 0.2500 0.2500 0.7500
Ta1 Ta 0.0000 0.0000 0.5000
# - energy above the most stable polymorph in this dataset (meV per atom) = 908
# - Fermi-level density of states (states/eV/cell) = 9.6
# - spin magnetization (μB per formula unit) = 2.22
# - crystal system = cubic

# CaLa2Ta PBE optimized geometry
data_CaLa2Ta
_chemical_formula_sum 'Ca2 La4 Ta2'
_cell_length_a 11.6067
_cell_length_b 3.3843
_cell_length_c 6.1923
_cell_angle_alpha 90.00
_cell_angle_beta 99.46
_cell_angle_gamma 90.00
_space_group_name_H-M_alt 'C 1 m 1'
_space_group_IT_number 8
loop_
_space_group_symop_operation_xyz
'x,y,z'
'x,-y,z'
'x+1/2,y+1/2,z'
'x+1/2,-y+1/2,z'
loop_
_atom_site_label
_atom_site_type_symbol
_atom_site_fract_x
_atom_site_fract_y
_atom_site_fract_z
Ca1 Ca 0.0000 0.0000 0.0000
La1 La 0.2332 0.0000 0.7085
La2 La 0.4698 0.0000 0.4639
Ta1 Ta 0.2390 0.5000 0.2486
# - energy above the most stable polymorph in this dataset (meV per atom) = 175
# - Fermi-level density of states (states/eV/cell) = 12.1
# - spin magnetization (μB per formula unit) = 0.00
# - crystal system = monoclinic

# CaLaTa2 PBE optimized geometry
data_CaLaTa2
_chemical_formula_sum 'Ca4 La4 Ta8'
_cell_length_a 7.2493
_cell_length_b 7.2493
_cell_length_c 7.2493
_cell_angle_alpha 90.00
_cell_angle_beta 90.00
_cell_angle_gamma 90.00
_space_group_name_H-M_alt 'F -4 3 m'
_space_group_IT_number 216
_space_group_name_Hall 'F -4 2 3'
loop_
_atom_site_label
_atom_site_type_symbol
_atom_site_fract_x
_atom_site_fract_y
_atom_site_fract_z
Ca1 Ca 0.0000 0.0000 0.0000
La1 La 0.2500 0.2500 0.2500
Ta1 Ta 0.0000 0.0000 0.5000
Ta2 Ta 0.2500 0.2500 0.7500
# - energy above the most stable polymorph in this dataset (meV per atom) = 342
# - Fermi-level density of states (states/eV/cell) = 14.7
# - spin magnetization (μB per formula unit) = 0.00
# - crystal system = cubic

# Ca4LaTa PBE optimized geometry
data_Ca4LaTa
_chemical_formula_sum 'Ca16 La4 Ta4'
_cell_length_a 9.4448
_cell_length_b 9.4448
_cell_length_c 9.4448
_cell_angle_alpha 90.00
_cell_angle_beta 90.00
_cell_angle_gamma 90.00
_space_group_name_H-M_alt 'F -4 3 m'
_space_group_IT_number 216
_space_group_name_Hall 'F -4 2 3'
loop_
_atom_site_label
_atom_site_type_symbol
_atom_site_fract_x
_atom_site_fract_y
_atom_site_fract_z
Ca1 Ca 0.1254 0.1254 0.1254
La1 La 0.2500 0.2500 0.7500
Ta1 Ta 0.0000 0.0000 0.5000
# - E (hartree per atom) = -0.12211
# - Fermi-level density of states (states/eV/cell) = 18.9
# - spin magnetization (μB per formula unit) = 3.99
# - crystal system = cubic

# CaLa2Ta PBE optimized geometry
data_CaLa2Ta
_chemical_formula_sum 'Ca4 La8 Ta4'
_cell_length_a 8.8209
_cell_length_b 8.8209
_cell_length_c 6.7330
_cell_angle_alpha 90.00
_cell_angle_beta 90.00
_cell_angle_gamma 90.00
_space_group_name_H-M_alt 'I -4 2 d'
_space_group_IT_number 122
_space_group_name_Hall 'I -4 2bw'
loop_
_atom_site_label
_atom_site_type_symbol
_atom_site_fract_x
_atom_site_fract_y
_atom_site_fract_z
Ca1 Ca 0.0000 0.0000 0.0000
La1 La 0.1842 0.2500 0.6250
Ta1 Ta 0.0000 0.0000 0.5000
# - energy above the most stable polymorph in this dataset (meV per atom) = 423
# - Fermi-level density of states (states/eV/cell) = 29.0
# - spin magnetization (μB per formula unit) = 0.00
# - crystal system = tetragonal

# CaLa2Ta PBE optimized geometry
data_CaLa2Ta
_chemical_formula_sum 'Ca3 La6 Ta3'
_cell_length_a 3.4501
_cell_length_b 3.4501
_cell_length_c 35.0668
_cell_angle_alpha 90.00
_cell_angle_beta 90.00
_cell_angle_gamma 120.00
_space_group_name_H-M_alt 'R 3 m'
_space_group_IT_number 160
_space_group_name_Hall 'R 3 -2"'
loop_
_atom_site_label
_atom_site_type_symbol
_atom_site_fract_x
_atom_site_fract_y
_atom_site_fract_z
Ca1 Ca 0.0000 0.0000 0.0000
La1 La 0.0000 0.0000 0.2350
La2 La 0.0000 0.0000 0.4787
Ta1 Ta 0.0000 0.0000 0.7408
# - energy above the most stable polymorph in this dataset (meV per atom) = 159
# - Fermi-level density of states (states/eV/cell) = 14.3
# - spin magnetization (μB per formula unit) = 0.00
# - crystal system = trigonal

# Ca2LaTa PBE optimized geometry
data_Ca2LaTa
_chemical_formula_sum 'Ca2 La1 Ta1'
_cell_length_a 4.0922
_cell_length_b 4.0922
_cell_length_c 7.4325
_cell_angle_alpha 90.00
_cell_angle_beta 90.00
_cell_angle_gamma 90.00
_space_group_name_H-M_alt 'P 4/m m m'
_space_group_IT_number 123
_space_group_name_Hall '-P 4 2'
loop_
_atom_site_label
_atom_site_type_symbol
_atom_site_fract_x
_atom_site_fract_y
_atom_site_fract_z
Ca1 Ca 0.0000 0.0000 0.2145
La1 La 0.5000 0.5000 0.5000
Ta1 Ta 0.5000 0.5000 0.0000
# - energy above the most stable polymorph in this dataset (meV per atom) = 295
# - Fermi-level density of states (states/eV/cell) = 4.8
# - spin magnetization (μB per formula unit) = 1.96
# - crystal system = tetragonal

# CaLa2Ta PBE optimized geometry
data_CaLa2Ta
_chemical_formula_sum 'Ca1 La2 Ta1'
_cell_length_a 3.3107
_cell_length_b 3.3107
_cell_length_c 11.0748
_cell_angle_alpha 90.00
_cell_angle_beta 90.00
_cell_angle_gamma 90.00
_space_group_name_H-M_alt 'P 4 m m'
_space_group_IT_number 99
loop_
_space_group_symop_operation_xyz
'x,y,z'
'-y,x,z'
'-x,-y,z'
'y,-x,z'
'-x,y,z'
'y,x,z'
'x,-y,z'
'-y,-x,z'
loop_
_atom_site_label
_atom_site_type_symbol
_atom_site_fract_x
_atom_site_fract_y
_atom_site_fract_z
Ca1 Ca 0.0000 0.0000 0.0000
La1 La 0.0000 0.0000 0.5752
La2 La 0.5000 0.5000 0.2918
Ta1 Ta 0.5000 0.5000 0.7845
# - energy above the most stable polymorph in this dataset (meV per atom) = 134
# - Fermi-level density of states (states/eV/cell) = 6.7
# - spin magnetization (μB per formula unit) = 0.00
# - crystal system = tetragonal

# CaLaTa2 PBE optimized geometry
data_CaLaTa2
_chemical_formula_sum 'Ca2 La2 Ta4'
_cell_length_a 6.0892
_cell_length_b 10.5333
_cell_length_c 2.9586
_cell_angle_alpha 90.00
_cell_angle_beta 90.00
_cell_angle_gamma 90.00
_space_group_name_H-M_alt 'C m m m'
_space_group_IT_number 65
_space_group_name_Hall '-C 2 2'
loop_
_atom_site_label
_atom_site_type_symbol
_atom_site_fract_x
_atom_site_fract_y
_atom_site_fract_z
Ca1 Ca 0.0000 0.0000 0.0000
La1 La 0.0000 0.5000 0.0000
Ta1 Ta 0.2500 0.2500 0.5000
# - energy above the most stable polymorph in this dataset (meV per atom) = 399
# - Fermi-level density of states (states/eV/cell) = 8.9
# - spin magnetization (μB per formula unit) = 0.00
# - crystal system = orthorhombic

# CaLa2Ta PBE optimized geometry
data_CaLa2Ta
_chemical_formula_sum 'Ca2 La4 Ta2'
_cell_length_a 4.8715
_cell_length_b 4.8715
_cell_length_c 9.9644
_cell_angle_alpha 90.00
_cell_angle_beta 90.00
_cell_angle_gamma 90.00
_space_group_name_H-M_alt 'I -4 m 2'
_space_group_IT_number 119
_space_group_name_Hall 'I -4 -2'
loop_
_atom_site_label
_atom_site_type_symbol
_atom_site_fract_x
_atom_site_fract_y
_atom_site_fract_z
Ca1 Ca 0.0000 0.0000 0.0000
La1 La 0.0000 0.0000 0.5000
La2 La 0.0000 0.5000 0.7500
Ta1 Ta 0.0000 0.5000 0.2500
# - energy above the most stable polymorph in this dataset (meV per atom) = 206
# - Fermi-level density of states (states/eV/cell) = 11.9
# - spin magnetization (μB per formula unit) = 0.00
# - crystal system = tetragonal

# CaLaTa PBE optimized geometry
data_CaLaTa
_chemical_formula_sum 'Ca4 La4 Ta4'
_cell_length_a 4.5532
_cell_length_b 4.5709
_cell_length_c 16.5790
_cell_angle_alpha 90.00
_cell_angle_beta 90.00
_cell_angle_gamma 90.00
_space_group_name_H-M_alt 'F m m 2'
_space_group_IT_number 42
_space_group_name_Hall 'F 2 -2'
loop_
_atom_site_label
_atom_site_type_symbol
_atom_site_fract_x
_atom_site_fract_y
_atom_site_fract_z
Ca1 Ca 0.0000 0.0000 0.0000
La1 La 0.0000 0.0000 0.2912
Ta1 Ta 0.0000 0.0000 0.6491
# - energy above the most stable polymorph in this dataset (meV per atom) = 0
# - Fermi-level density of states (states/eV/cell) = 16.4
# - spin magnetization (μB per formula unit) = 0.00
# - crystal system = orthorhombic

# CaLaTa PBE optimized geometry
data_CaLaTa
_chemical_formula_sum 'Ca4 La4 Ta4'
_cell_length_a 7.3849
_cell_length_b 7.3849
_cell_length_c 7.3849
_cell_angle_alpha 90.00
_cell_angle_beta 90.00
_cell_angle_gamma 90.00
_space_group_name_H-M_alt 'F -4 3 m'
_space_group_IT_number 216
_space_group_name_Hall 'F -4 2 3'
loop_
_atom_site_label
_atom_site_type_symbol
_atom_site_fract_x
_atom_site_fract_y
_atom_site_fract_z
Ca1 Ca 0.0000 0.0000 0.0000
La1 La 0.0000 0.0000 0.5000
Ta1 Ta 0.2500 0.2500 0.2500
# - energy above the most stable polymorph in this dataset (meV per atom) = 602
# - Fermi-level density of states (states/eV/cell) = 17.2
# - spin magnetization (μB per formula unit) = 2.84
# - crystal system = cubic

# CaLa2Ta PBE optimized geometry
data_CaLa2Ta
_chemical_formula_sum 'Ca2 La4 Ta2'
_cell_length_a 10.8397
_cell_length_b 3.3315
_cell_length_c 6.7178
_cell_angle_alpha 90.00
_cell_angle_beta 97.90
_cell_angle_gamma 90.00
_space_group_name_H-M_alt 'C 1 2/m 1'
_space_group_IT_number 12
loop_
_space_group_symop_operation_xyz
'x,y,z'
'-x,-y,-z'
'-x,y,-z'
'x,-y,z'
'x+1/2,y+1/2,z'
'-x+1/2,-y+1/2,-z'
'-x+1/2,y+1/2,-z'
'x+1/2,-y+1/2,z'
loop_
_atom_site_label
_atom_site_type_symbol
_atom_site_fract_x
_atom_site_fract_y
_atom_site_fract_z
Ca1 Ca 0.0000 0.0000 0.0000
La1 La 0.2339 0.0000 0.7162
Ta1 Ta 0.0000 0.5000 0.5000
# - energy above the most stable polymorph in this dataset (meV per atom) = 153
# - Fermi-level density of states (states/eV/cell) = 11.8
# - spin magnetization (μB per formula unit) = 0.10
# - crystal system = monoclinic